Record 1
Below is crystalline Tl2SiBr at its relaxed geometry, with properties calculated at the PBE-GGA level. Values from VASP.

Quantum ESPRESSO input file:
```
&SYSTEM
  ibrav = 0, nat = 4, ntyp = 3
/
ATOMIC_SPECIES
Tl 204.38 Tl.upf
Si 28.09 Si.upf
Br 79.90 Br.upf
CELL_PARAMETERS angstrom
4.931 0.000 0.000
0.000 3.834 0.028
0.000 3.189 6.086
ATOMIC_POSITIONS angstrom
Tl 0.000 4.032 3.142
Tl 0.000 6.503 6.029
Si 2.466 5.267 4.586
Br 2.466 1.756 1.529
```

Calculated values
energy above the most stable polymorph in this dataset = 0.491 eV per formula unit
size of the total moment = 0.00 μB per formula unit
ΔE_f (raw) = 0.18 eV per atom

***

Record 2
Below is crystalline TaTl2Cd at its relaxed geometry, with properties calculated at the PBE-GGA level. Values from VASP.

Quantum ESPRESSO input file:
```
&SYSTEM
  ibrav = 0, nat = 4, ntyp = 3
/
ATOMIC_SPECIES
Tl 204.38 Tl.upf
Ta 180.95 Ta.upf
Cd 112.41 Cd.upf
CELL_PARAMETERS angstrom
-2.382 -3.823 -2.504
0.761 -4.890 1.438
-3.787 -2.626 2.308
ATOMIC_POSITIONS angstrom
Tl -1.352 -2.835 0.311
Tl 0.000 0.000 0.000
Ta -4.056 -8.505 0.932
Cd -2.704 -5.670 0.621
```

Calculated values
formation energy from the elements = 3.6 eV per formula unit
energy above the most stable polymorph in this dataset = 2.008 eV per formula unit
size of the total moment = 2.12 μB per formula unit

***

Record 3
Below is crystalline SiBr3N at its relaxed geometry, with properties calculated at the PBE-GGA level. Values from VASP.

Quantum ESPRESSO input file:
```
&SYSTEM
  ibrav = 0, nat = 5, ntyp = 3
/
ATOMIC_SPECIES
Br 79.90 Br.upf
N 14.01 N.upf
Si 28.09 Si.upf
CELL_PARAMETERS angstrom
-1.676 -0.153 4.396
3.683 -2.621 1.313
2.405 3.907 1.053
ATOMIC_POSITIONS angstrom
Br -0.838 -0.077 2.198
Br 1.841 -1.311 0.656
Br 1.203 1.953 0.527
N 0.000 0.000 0.000
Si 2.206 0.566 3.381
```

Calculated values
energy above the most stable polymorph in this dataset = 1.397 eV per formula unit
size of the total moment = 0.00 μB per formula unit
ΔE_f (raw) = 1.12 eV per atom

***

Record 4
Below is crystalline Y2O3 at its relaxed geometry, with properties calculated at the PBE-GGA level. Values from VASP.

Quantum ESPRESSO input file:
```
&SYSTEM
  ibrav = 0, nat = 30, ntyp = 2
/
ATOMIC_SPECIES
Y 88.91 Y.upf
O 16.00 O.upf
CELL_PARAMETERS angstrom
3.502 0.000 0.000
0.000 8.610 0.003
0.000 2.194 14.329
ATOMIC_POSITIONS angstrom
Y 0.875 7.053 0.118
Y 2.626 7.530 3.137
Y 2.626 3.751 14.214
Y 2.626 2.176 4.071
Y 2.626 6.634 12.673
Y 2.626 5.606 8.693
Y 0.875 8.628 10.261
Y 0.875 8.436 6.250
Y 0.875 5.198 5.639
Y 0.875 3.275 11.194
Y 2.626 2.368 8.082
Y 0.875 4.170 1.658
O 0.875 5.394 13.887
O 0.875 2.578 13.311
O 2.626 4.539 11.703
O 2.626 4.232 6.673
O 0.875 8.086 12.457
O 0.875 9.080 3.890
O 2.626 6.840 5.308
O 2.626 1.213 6.111
O 2.626 2.718 1.875
O 2.626 5.410 0.445
O 0.875 6.572 7.659
O 0.875 6.265 2.629
O 0.875 3.964 9.023
O 0.875 3.591 4.070
O 0.875 9.591 8.220
O 2.626 7.213 10.261
O 2.626 8.226 1.021
O 2.626 1.724 10.442
```

Calculated values
size of the total moment = 0.00 μB per formula unit
ΔE_f (raw) = -3.50 eV per atom

***

Record 5
Below is crystalline Np2UF11 at its relaxed geometry, with properties calculated at the PBE-GGA level. Values from VASP.

Quantum ESPRESSO input file:
```
&SYSTEM
  ibrav = 0, nat = 28, ntyp = 3
/
ATOMIC_SPECIES
F 19.00 F.upf
U 238.03 U.upf
Np 237.00 Np.upf
CELL_PARAMETERS angstrom
7.480 0.000 3.899
3.462 7.702 2.483
0.170 -0.128 8.800
ATOMIC_POSITIONS angstrom
F 5.556 3.787 7.591
F 7.845 5.279 4.809
F 5.047 1.598 3.380
F 7.523 3.522 11.333
F 6.065 5.976 11.802
F 7.375 5.386 9.288
F 5.304 5.480 5.723
F 3.589 4.052 3.849
F 6.748 7.438 6.913
F 9.973 6.211 9.852
F 3.737 2.189 5.894
F 2.665 4.298 7.949
F 3.267 2.295 10.373
F 9.266 6.010 7.246
F 1.139 1.364 5.330
F 4.363 0.137 8.269
F 1.362 0.510 2.575
F 8.446 3.277 7.233
F 9.750 7.064 12.607
F 0.000 0.000 0.000
F 5.808 2.094 9.459
F 1.845 1.565 7.937
U 8.334 5.681 11.387
U 2.778 1.894 3.796
Np 7.151 1.289 10.985
Np 3.866 2.370 8.164
Np 3.960 6.285 4.197
Np 7.246 5.204 7.018
```

Calculated values
size of the total moment = 9.00 μB per formula unit
ΔE_f (raw) = -3.53 eV per atom

***

Record 6
Below is crystalline CsFe3Se at its relaxed geometry, with properties calculated at the PBE-GGA level. Values from VASP.

Quantum ESPRESSO input file:
```
&SYSTEM
  ibrav = 0, nat = 5, ntyp = 3
/
ATOMIC_SPECIES
Fe 55.84 Fe.upf
Cs 132.91 Cs.upf
Se 78.96 Se.upf
CELL_PARAMETERS angstrom
4.716 0.000 0.000
0.000 4.716 0.000
0.000 0.000 4.716
ATOMIC_POSITIONS angstrom
Fe 2.358 0.000 0.000
Fe 0.000 0.000 2.358
Fe 0.000 2.358 0.000
Cs 2.358 2.358 2.358
Se 0.000 0.000 0.000
```

Calculated values
energy above the most stable polymorph in this dataset = 0.000 eV per formula unit
size of the total moment = 7.01 μB per formula unit
ΔE_f (raw) = 0.94 eV per atom